VASP calculation (PBE) on a geometry-optimized SrCaPm2 structure.

Lattice parameters (Å, degrees): 4.175 4.175 9.145 90.00 90.00 90.00
Fractional positions:
1 Sr 0.000 0.000 0.000
2 Ca 0.000 0.000 0.500
3 Pm 0.500 0.500 0.284
4 Pm 0.500 0.500 0.716

Computed properties:
The value obtained for the total moment is 0.00 μB per cell. The value obtained for the energy relative to the lowest polymorph listed for this composition is 0.000 eV/atom. The uncorrected energy comes out at -12.49 eV for the cell shown. As for the formation energy: 0.1739 eV per atom. Its space group is P4/mmm (123).

***

VASP calculation (PBE) on a geometry-optimized SrCaPm2 structure.

Lattice parameters (Å, degrees): 5.215 5.215 5.762 90.00 90.00 90.00
Fractional positions:
1 Sr 0.000 0.000 0.000
2 Ca 0.500 0.500 0.000
3 Pm 0.000 0.500 0.500
4 Pm 0.500 0.000 0.500

Computed properties:
The value obtained for the total moment is 0.00 μB per cell. The value obtained for the energy relative to the lowest polymorph listed for this composition is 0.005 eV/atom. The uncorrected energy comes out at -12.47 eV for the cell shown. As for the formation energy: 0.1784 eV per atom. Its space group is P4/mmm (123).

***

VASP calculation (PBE) on a geometry-optimized SrCa2Pm structure.

Lattice parameters (Å, degrees): 6.169 6.169 6.169 60.00 60.00 60.00
Fractional positions:
1 Sr 0.000 0.000 0.000
2 Ca 0.250 0.250 0.250
3 Ca 0.750 0.750 0.750
4 Pm 0.500 0.500 0.500

Computed properties:
The value obtained for the total moment is 0.00 μB per cell. The value obtained for the energy relative to the lowest polymorph listed for this composition is 0.040 eV/atom. The uncorrected energy comes out at -9.97 eV for the cell shown. As for the formation energy: 0.1175 eV per atom. Its space group is Fm-3m (225).

***

VASP calculation (PBE) on a geometry-optimized SrCa2Pm structure.

Lattice parameters (Å, degrees): 14.026 14.026 14.026 15.42 15.42 15.42
Fractional positions:
1 Sr 0.000 0.000 0.000
2 Ca 0.415 0.415 0.415
3 Ca 0.585 0.585 0.585
4 Pm 0.500 0.500 0.500

Computed properties:
The value obtained for the total moment is 0.04 μB per cell. The value obtained for the energy relative to the lowest polymorph listed for this composition is 0.166 eV/atom. The uncorrected energy comes out at -9.46 eV for the cell shown. As for the formation energy: 0.2437 eV per atom. Its space group is R-3m (166).

***

VASP calculation (PBE) on a geometry-optimized SrCaTbPm structure.

Lattice parameters (Å, degrees): 6.014 6.014 6.014 60.00 60.00 60.00
Fractional positions:
1 Sr 0.000 0.000 0.000
2 Ca 0.250 0.250 0.250
3 Tb 0.500 0.500 0.500
4 Pm 0.750 0.750 0.750

Computed properties:
The value obtained for the total moment is 0.00 μB per cell. The uncorrected energy comes out at -12.32 eV for the cell shown. As for the formation energy: 0.1861 eV per atom. Its space group is F-43m (216).

***

VASP calculation (PBE) on a geometry-optimized SrCaPm2Te4 structure.

Lattice parameters (Å, degrees): 7.783 4.497 7.991 90.00 109.00 90.00
Fractional positions:
1 Sr 0.000 0.000 0.000
2 Ca 0.500 0.500 0.000
3 Pm 0.000 0.500 0.500
4 Pm 0.500 0.000 0.500
5 Te 0.255 0.000 0.748
6 Te 0.257 0.500 0.256
7 Te 0.743 0.500 0.744
8 Te 0.745 0.000 0.252

Computed properties:
The value obtained for the total moment is 0.00 μB per cell. The uncorrected energy comes out at -37.93 eV for the cell shown. Its space group is P2/m (10).

***

VASP calculation (PBE) on a geometry-optimized Sr3Ca2PmTe6 structure.

Lattice parameters (Å, degrees): 10.336 10.336 9.267 103.13 103.13 25.72
Fractional positions:
1 Sr 0.000 0.000 0.000
2 Sr 0.333 0.333 0.668
3 Sr 0.667 0.667 0.332
4 Ca 0.333 0.333 0.166
5 Ca 0.667 0.667 0.834
6 Pm 0.000 0.000 0.500
7 Te 0.163 0.163 0.590
8 Te 0.169 0.169 0.076
9 Te 0.497 0.497 0.258
10 Te 0.503 0.503 0.742
11 Te 0.831 0.831 0.924
12 Te 0.837 0.837 0.410

Computed properties:
The value obtained for the total moment is 0.00 μB per cell. The uncorrected energy comes out at -52.30 eV for the cell shown. Its space group is C2/m (12).

***

VASP calculation (PBE) on a geometry-optimized SrCa3Pm2Te6 structure.

Lattice parameters (Å, degrees): 10.148 10.148 9.121 103.35 103.35 25.59
Fractional positions:
1 Sr 0.000 0.000 0.000
2 Ca 0.000 0.000 0.500
3 Ca 0.335 0.335 0.165
4 Ca 0.665 0.665 0.835
5 Pm 0.330 0.330 0.658
6 Pm 0.670 0.670 0.342
7 Te 0.165 0.165 0.588
8 Te 0.171 0.171 0.089
9 Te 0.498 0.498 0.740
10 Te 0.502 0.502 0.260
11 Te 0.829 0.829 0.911
12 Te 0.835 0.835 0.412

Computed properties:
The value obtained for the total moment is 0.00 μB per cell. The uncorrected energy comes out at -54.74 eV for the cell shown. Its space group is C2/m (12).

***

VASP calculation (PBE) on a geometry-optimized SrCaPmTl structure.

Lattice parameters (Å, degrees): 5.806 5.806 5.806 60.00 60.00 60.00
Fractional positions:
1 Sr 0.000 0.000 0.000
2 Ca 0.750 0.750 0.750
3 Pm 0.500 0.500 0.500
4 Tl 0.250 0.250 0.250

Computed properties:
The value obtained for the total moment is 0.00 μB per cell. The uncorrected energy comes out at -11.12 eV for the cell shown. As for the formation energy: -0.0811 eV per atom. Its space group is F-43m (216).

***

VASP calculation (PBE) on a geometry-optimized SrCaPmTm structure.

Lattice parameters (Å, degrees): 5.986 5.986 5.986 60.00 60.00 60.00
Fractional positions:
1 Sr 0.000 0.000 0.000
2 Ca 0.750 0.750 0.750
3 Pm 0.500 0.500 0.500
4 Tm 0.250 0.250 0.250

Computed properties:
The value obtained for the total moment is 0.00 μB per cell. The uncorrected energy comes out at -12.14 eV for the cell shown. As for the formation energy: 0.1924 eV per atom. Its space group is F-43m (216).

***

VASP calculation (PBE) on a geometry-optimized SrCaPmY structure.

Lattice parameters (Å, degrees): 6.024 6.024 6.024 60.00 60.00 60.00
Fractional positions:
1 Sr 0.000 0.000 0.000
2 Ca 0.750 0.750 0.750
3 Pm 0.500 0.500 0.500
4 Y 0.250 0.250 0.250

Computed properties:
The value obtained for the total moment is 0.00 μB per cell. The uncorrected energy comes out at -14.18 eV for the cell shown. As for the formation energy: 0.1790 eV per atom. Its space group is F-43m (216).

***

VASP calculation (PBE) on a geometry-optimized CaTbPm4 structure.

Lattice parameters (Å, degrees): 3.632 5.203 11.052 90.00 90.00 90.00
Fractional positions:
1 Ca 0.000 0.000 0.000
2 Tb 0.500 0.500 0.500
3 Pm 0.000 0.000 0.340
4 Pm 0.000 0.000 0.660
5 Pm 0.500 0.500 0.180
6 Pm 0.500 0.500 0.820

Computed properties:
The value obtained for the total moment is 0.00 μB per cell. The value obtained for the energy relative to the lowest polymorph listed for this composition is 0.000 eV/atom. The uncorrected energy comes out at -25.36 eV for the cell shown. As for the formation energy: 0.0463 eV per atom. Its space group is Pmmm (47).

***

VASP calculation (PBE) on a geometry-optimized Ca2Tb2Pm15 structure.

Lattice parameters (Å, degrees): 8.941 8.941 8.941 81.27 81.27 81.27
Fractional positions:
1 Ca 0.168 0.168 0.168
2 Ca 0.832 0.832 0.832
3 Tb 0.405 0.405 0.405
4 Tb 0.595 0.595 0.595
5 Pm 0.000 0.500 0.500
6 Pm 0.136 0.136 0.648
7 Pm 0.136 0.648 0.136
8 Pm 0.205 0.500 0.795
9 Pm 0.205 0.795 0.500
10 Pm 0.352 0.864 0.864
11 Pm 0.500 0.000 0.500
12 Pm 0.500 0.205 0.795
13 Pm 0.500 0.500 0.000
14 Pm 0.500 0.795 0.205
15 Pm 0.648 0.136 0.136
16 Pm 0.795 0.205 0.500
17 Pm 0.795 0.500 0.205
18 Pm 0.864 0.352 0.864
19 Pm 0.864 0.864 0.352

Computed properties:
The value obtained for the total moment is 0.00 μB per cell. The uncorrected energy comes out at -80.04 eV for the cell shown. As for the formation energy: 0.2359 eV per atom. Its space group is R-3m (166).

***

VASP calculation (PBE) on a geometry-optimized CaTb2Pm structure.

Lattice parameters (Å, degrees): 12.277 12.277 12.277 17.03 17.03 17.03
Fractional positions:
1 Ca 0.000 0.000 0.000
2 Tb 0.246 0.246 0.246
3 Tb 0.754 0.754 0.754
4 Pm 0.500 0.500 0.500

Computed properties:
The value obtained for the total moment is 0.00 μB per cell. The value obtained for the energy relative to the lowest polymorph listed for this composition is 0.006 eV/atom. The uncorrected energy comes out at -15.76 eV for the cell shown. As for the formation energy: 0.0628 eV per atom. Its space group is R-3m (166).

***

VASP calculation (PBE) on a geometry-optimized CaTb2Pm9 structure.

Lattice parameters (Å, degrees): 5.162 5.162 15.486 90.00 90.00 90.00
Fractional positions:
1 Ca 0.000 0.000 0.000
2 Tb 0.000 0.000 0.334
3 Tb 0.000 0.000 0.666
4 Pm 0.000 0.500 0.173
5 Pm 0.000 0.500 0.500
6 Pm 0.000 0.500 0.827
7 Pm 0.500 0.000 0.173
8 Pm 0.500 0.000 0.500
9 Pm 0.500 0.000 0.827
10 Pm 0.500 0.500 0.000
11 Pm 0.500 0.500 0.334
12 Pm 0.500 0.500 0.666

Computed properties:
The value obtained for the total moment is 0.00 μB per cell. The uncorrected energy comes out at -53.58 eV for the cell shown. As for the formation energy: 0.0361 eV per atom. Its space group is P4/mmm (123).

***

VASP calculation (PBE) on a geometry-optimized CaTb5Pm4 structure.

Lattice parameters (Å, degrees): 3.636 3.636 25.579 90.00 90.00 90.00
Fractional positions:
1 Ca 0.000 0.000 0.000
2 Tb 0.500 0.500 0.109
3 Tb 0.500 0.500 0.303
4 Tb 0.500 0.500 0.500
5 Tb 0.500 0.500 0.697
6 Tb 0.500 0.500 0.891
7 Pm 0.000 0.000 0.203
8 Pm 0.000 0.000 0.401
9 Pm 0.000 0.000 0.599
10 Pm 0.000 0.000 0.797

Computed properties:
The value obtained for the total moment is 0.00 μB per cell. The uncorrected energy comes out at -43.81 eV for the cell shown. As for the formation energy: 0.0349 eV per atom. Its space group is P4/mmm (123).

***

VASP calculation (PBE) on a geometry-optimized CaTb2Pm structure.

Lattice parameters (Å, degrees): 5.123 5.123 5.190 90.00 90.00 90.00
Fractional positions:
1 Ca 0.000 0.000 0.000
2 Tb 0.000 0.500 0.500
3 Tb 0.500 0.000 0.500
4 Pm 0.500 0.500 0.000

Computed properties:
The value obtained for the total moment is 0.00 μB per cell. The value obtained for the energy relative to the lowest polymorph listed for this composition is 0.056 eV/atom. The uncorrected energy comes out at -15.56 eV for the cell shown. As for the formation energy: 0.1133 eV per atom. Its space group is P4/mmm (123).

***

VASP calculation (PBE) on a geometry-optimized CaTb5Pm12 structure.

Lattice parameters (Å, degrees): 10.907 10.907 6.293 106.66 106.66 60.01
Fractional positions:
1 Ca 0.000 0.000 0.000
2 Tb 0.169 0.169 0.511
3 Tb 0.333 0.333 0.003
4 Tb 0.500 0.500 0.500
5 Tb 0.667 0.667 0.997
6 Tb 0.831 0.831 0.489
7 Pm 0.001 0.337 0.001
8 Pm 0.167 0.500 0.501
9 Pm 0.171 0.829 0.500
10 Pm 0.337 0.001 0.001
11 Pm 0.339 0.661 0.000
12 Pm 0.500 0.167 0.501
13 Pm 0.500 0.833 0.499
14 Pm 0.661 0.339 0.000
15 Pm 0.663 0.999 0.999
16 Pm 0.829 0.171 0.500
17 Pm 0.833 0.500 0.499
18 Pm 0.999 0.663 0.999

Computed properties:
The value obtained for the total moment is 0.00 μB per cell. The uncorrected energy comes out at -81.70 eV for the cell shown. As for the formation energy: 0.0258 eV per atom. Its space group is C2/m (12).

***

VASP calculation (PBE) on a geometry-optimized CaTb5Pm6 structure.

Lattice parameters (Å, degrees): 8.102 8.102 6.287 97.49 97.49 84.72
Fractional positions:
1 Ca 0.000 0.000 0.000
2 Tb 0.171 0.829 0.500
3 Tb 0.339 0.661 0.000
4 Tb 0.500 0.500 0.500
5 Tb 0.661 0.339 0.000
6 Tb 0.829 0.171 0.500
7 Pm 0.083 0.424 0.252
8 Pm 0.252 0.252 0.741
9 Pm 0.424 0.083 0.252
10 Pm 0.576 0.917 0.748
11 Pm 0.748 0.748 0.259
12 Pm 0.917 0.576 0.748

Computed properties:
The value obtained for the total moment is 0.00 μB per cell. The uncorrected energy comes out at -53.26 eV for the cell shown. As for the formation energy: 0.0327 eV per atom. Its space group is C2/m (12).

***

VASP calculation (PBE) on a geometry-optimized CaTbPm structure.

Lattice parameters (Å, degrees): 3.664 3.664 9.154 90.00 90.00 120.00
Fractional positions:
1 Ca 0.000 0.000 0.000
2 Tb 0.333 0.667 0.657
3 Pm 0.667 0.333 0.351

Computed properties:
The value obtained for the total moment is 0.00 μB per cell. The value obtained for the energy relative to the lowest polymorph listed for this composition is 0.011 eV/atom. The uncorrected energy comes out at -11.22 eV for the cell shown. As for the formation energy: 0.0530 eV per atom. Its space group is P3m1 (156).